Entry 1:
Computed, not measured: a relaxed structure of YHo2Cd3AgAu2 at the GGA-PBE level of DFT.

ΔH_f (0 K) (eV per atom): -0.583
SG: No. 38
V (Å³/cell): 205
Spin magnetization (Bohr magnetons per cell): 0.02

Cell: 3.829 7.861 7.861 Å, 120.04 90.00 90.00°
Element x y z (fractional)
Y (0.000, 0.000, 0.000)
Ho (0.000, 0.183, 0.592)
Ho (0.000, 0.592, 0.183)
Cd (0.500, 0.329, 0.329)
Cd (0.500, 0.592, 0.854)
Cd (0.500, 0.854, 0.592)
Ag (0.000, 0.591, 0.591)
Au (0.500, 0.259, 0.925)
Au (0.500, 0.925, 0.259)

***

Entry 2:
Computed, not measured: a relaxed structure of Y2HoCd3AgAu2 at the GGA-PBE level of DFT.

ΔH_f (0 K) (eV per atom): -0.587
SG: No. 38
V (Å³/cell): 206
Spin magnetization (Bohr magnetons per cell): 0.00

Cell: 3.833 7.867 7.867 Å, 119.96 90.00 90.00°
Element x y z (fractional)
Y (0.000, 0.204, 0.796)
Y (0.000, 0.796, 0.204)
Ho (0.000, 0.387, 0.387)
Cd (0.500, 0.059, 0.059)
Cd (0.500, 0.533, 0.796)
Cd (0.500, 0.796, 0.533)
Ag (0.000, 0.796, 0.796)
Au (0.500, 0.129, 0.462)
Au (0.500, 0.462, 0.129)

***

Entry 3:
Computed, not measured: a relaxed structure of Li2CdInAg2Au2 at the GGA-PBE level of DFT.

Calculated total energy (eV/atom): -2.775
SG: No. 115
V (Å³/cell): 143

Cell: 4.647 4.647 6.632 Å, 90.00 90.00 90.00°
Element x y z (fractional)
Li (0.000, 0.000, 0.000)
Li (0.500, 0.500, 0.500)
Cd (0.000, 0.000, 0.500)
In (0.500, 0.500, 0.000)
Ag (0.000, 0.500, 0.746)
Ag (0.500, 0.000, 0.254)
Au (0.000, 0.500, 0.250)
Au (0.500, 0.000, 0.750)

***

Entry 4:
Computed, not measured: a relaxed structure of Li2CdIn2Ag2Au at the GGA-PBE level of DFT.

Calculated total energy (eV/atom): -2.628
SG: No. 115
V (Å³/cell): 150

Cell: 4.733 4.733 6.701 Å, 90.00 90.00 90.00°
Element x y z (fractional)
Li (0.000, 0.500, 0.229)
Li (0.500, 0.000, 0.771)
Cd (0.000, 0.000, 0.500)
In (0.000, 0.000, 0.000)
In (0.500, 0.500, 0.500)
Ag (0.000, 0.500, 0.750)
Ag (0.500, 0.000, 0.250)
Au (0.500, 0.500, 0.000)

***

Entry 5:
Computed, not measured: a relaxed structure of LaCdAgAu at the GGA-PBE level of DFT.

ΔH_f (0 K) (eV per atom): -0.338
SG: No. 216
V (Å³/cell): 93
Spin magnetization (Bohr magnetons per cell): 0.00

Cell: 5.091 5.091 5.091 Å, 60.00 60.00 60.00°
Element x y z (fractional)
La (0.000, 0.000, 0.000)
Cd (0.750, 0.750, 0.750)
Ag (0.250, 0.250, 0.250)
Au (0.500, 0.500, 0.500)

***

Entry 6:
Computed, not measured: a relaxed structure of LaCdAgAu at the GGA-PBE level of DFT.

ΔH_f (0 K) (eV per atom): -0.407
SG: No. 216
V (Å³/cell): 95
Spin magnetization (Bohr magnetons per cell): 0.01

Cell: 5.118 5.118 5.118 Å, 60.00 60.00 60.00°
Element x y z (fractional)
La (0.000, 0.000, 0.000)
Cd (0.250, 0.250, 0.250)
Ag (0.500, 0.500, 0.500)
Au (0.750, 0.750, 0.750)

***

Entry 7:
Computed, not measured: a relaxed structure of La3Cd3Ag2Au at the GGA-PBE level of DFT.

ΔH_f (0 K) (eV per atom): -0.444
SG: No. 189
V (Å³/cell): 232
Spin magnetization (Bohr magnetons per cell): 0.05

Cell: 7.945 7.945 4.243 Å, 90.00 90.00 120.00°
Element x y z (fractional)
La (0.000, 0.596, 0.000)
La (0.404, 0.404, 0.000)
La (0.596, 0.000, 0.000)
Cd (0.000, 0.253, 0.500)
Cd (0.253, 0.000, 0.500)
Cd (0.747, 0.747, 0.500)
Ag (0.333, 0.667, 0.500)
Ag (0.667, 0.333, 0.500)
Au (0.000, 0.000, 0.000)

***

Entry 8:
Computed, not measured: a relaxed structure of LaCdAgAu at the GGA-PBE level of DFT.

ΔH_f (0 K) (eV per atom): -0.486
SG: No. 216
V (Å³/cell): 94
Spin magnetization (Bohr magnetons per cell): 0.02

Cell: 5.112 5.112 5.112 Å, 60.00 60.00 60.00°
Element x y z (fractional)
La (0.000, 0.000, 0.000)
Cd (0.500, 0.500, 0.500)
Ag (0.250, 0.250, 0.250)
Au (0.750, 0.750, 0.750)

***

Entry 9:
Computed, not measured: a relaxed structure of LaNd2Cd3AgAu2 at the GGA-PBE level of DFT.

ΔH_f (0 K) (eV per atom): -0.580
SG: No. 38
V (Å³/cell): 223
Spin magnetization (Bohr magnetons per cell): 0.01

Cell: 3.975 8.048 8.048 Å, 119.98 90.00 90.00°
Element x y z (fractional)
La (0.000, 0.000, 0.000)
Nd (0.000, 0.185, 0.592)
Nd (0.000, 0.592, 0.185)
Cd (0.500, 0.336, 0.336)
Cd (0.500, 0.590, 0.851)
Cd (0.500, 0.851, 0.590)
Ag (0.000, 0.592, 0.592)
Au (0.500, 0.261, 0.926)
Au (0.500, 0.926, 0.261)

***

Entry 10:
Computed, not measured: a relaxed structure of La2NdCd3AgAu2 at the GGA-PBE level of DFT.

ΔH_f (0 K) (eV per atom): -0.590
SG: No. 38
V (Å³/cell): 226
Spin magnetization (Bohr magnetons per cell): 0.01

Cell: 4.006 8.073 8.073 Å, 119.95 90.00 90.00°
Element x y z (fractional)
La (0.000, 0.205, 0.795)
La (0.000, 0.795, 0.205)
Nd (0.000, 0.386, 0.386)
Cd (0.500, 0.054, 0.054)
Cd (0.500, 0.540, 0.793)
Cd (0.500, 0.793, 0.540)
Ag (0.000, 0.796, 0.796)
Au (0.500, 0.130, 0.462)
Au (0.500, 0.462, 0.130)

***

Entry 11:
Computed, not measured: a relaxed structure of La3Cd3AgPdAu at the GGA-PBE level of DFT.

ΔH_f (0 K) (eV per atom): -0.609
SG: No. 174
V (Å³/cell): 226
Spin magnetization (Bohr magnetons per cell): 0.04

Cell: 7.980 7.980 4.102 Å, 90.00 90.00 120.00°
Element x y z (fractional)
La (0.007, 0.589, 0.000)
La (0.411, 0.418, 0.000)
La (0.582, 0.993, 0.000)
Cd (0.002, 0.254, 0.500)
Cd (0.251, 0.998, 0.500)
Cd (0.746, 0.749, 0.500)
Ag (0.000, 0.000, 0.000)
Pd (0.333, 0.667, 0.500)
Au (0.667, 0.333, 0.500)

***

Entry 12:
Computed, not measured: a relaxed structure of La2PrCd3AgAu2 at the GGA-PBE level of DFT.

ΔH_f (0 K) (eV per atom): -0.589
SG: No. 38
V (Å³/cell): 227
Spin magnetization (Bohr magnetons per cell): 0.01

Cell: 4.040 8.060 8.060 Å, 119.98 90.00 90.00°
Element x y z (fractional)
La (0.000, 0.206, 0.794)
La (0.000, 0.794, 0.206)
Pr (0.000, 0.385, 0.385)
Cd (0.500, 0.051, 0.051)
Cd (0.500, 0.541, 0.793)
Cd (0.500, 0.793, 0.541)
Ag (0.000, 0.796, 0.796)
Au (0.500, 0.129, 0.462)
Au (0.500, 0.462, 0.129)

***

Entry 13:
Computed, not measured: a relaxed structure of LaTb2Cd3AgAu2 at the GGA-PBE level of DFT.

ΔH_f (0 K) (eV per atom): -0.583
SG: No. 38
V (Å³/cell): 215
Spin magnetization (Bohr magnetons per cell): 0.01

Cell: 3.912 7.974 7.974 Å, 120.27 90.00 90.00°
Element x y z (fractional)
La (0.000, 0.000, 0.000)
Tb (0.000, 0.184, 0.592)
Tb (0.000, 0.592, 0.184)
Cd (0.500, 0.337, 0.337)
Cd (0.500, 0.588, 0.853)
Cd (0.500, 0.853, 0.588)
Ag (0.000, 0.590, 0.590)
Au (0.500, 0.265, 0.925)
Au (0.500, 0.925, 0.265)

***

Entry 14:
Computed, not measured: a relaxed structure of La2YCd3AgAu2 at the GGA-PBE level of DFT.

ΔH_f (0 K) (eV per atom): -0.590
SG: No. 38
V (Å³/cell): 222
Spin magnetization (Bohr magnetons per cell): 0.02

Cell: 3.969 8.029 8.029 Å, 119.91 90.00 90.00°
Element x y z (fractional)
La (0.000, 0.205, 0.795)
La (0.000, 0.795, 0.205)
Y (0.000, 0.387, 0.387)
Cd (0.500, 0.057, 0.057)
Cd (0.500, 0.538, 0.790)
Cd (0.500, 0.790, 0.538)
Ag (0.000, 0.793, 0.793)
Au (0.500, 0.136, 0.461)
Au (0.500, 0.461, 0.136)

***

Entry 15:
Computed, not measured: a relaxed structure of LaY2Cd3AgAu2 at the GGA-PBE level of DFT.

ΔH_f (0 K) (eV per atom): -0.586
SG: No. 38
V (Å³/cell): 213
Spin magnetization (Bohr magnetons per cell): 0.01

Cell: 3.896 7.947 7.947 Å, 120.17 90.00 90.00°
Element x y z (fractional)
La (0.000, 0.000, 0.000)
Y (0.000, 0.185, 0.592)
Y (0.000, 0.592, 0.185)
Cd (0.500, 0.337, 0.337)
Cd (0.500, 0.588, 0.853)
Cd (0.500, 0.853, 0.588)
Ag (0.000, 0.590, 0.590)
Au (0.500, 0.265, 0.925)
Au (0.500, 0.925, 0.265)

***

Entry 16:
Computed, not measured: a relaxed structure of Li3CdAg2Au2 at the GGA-PBE level of DFT.

Calculated total energy (eV/atom): -2.704
SG: No. 6
V (Å³/cell): 132

Cell: 4.515 4.508 6.502 Å, 90.00 90.21 90.00°
Element x y z (fractional)
Li (0.000, 0.000, 0.000)
Li (0.004, 0.000, 0.500)
Li (0.528, 0.500, 0.000)
Cd (0.531, 0.500, 0.500)
Ag (0.030, 0.500, 0.771)
Ag (0.498, 0.000, 0.230)
Au (0.027, 0.500, 0.230)
Au (0.501, 0.000, 0.770)

***

Entry 17:
Computed, not measured: a relaxed structure of LiCd3Ag2Au2 at the GGA-PBE level of DFT.

Calculated total energy (eV/atom): -2.323
SG: No. 6
V (Å³/cell): 148

Cell: 4.764 4.746 6.559 Å, 90.00 90.09 90.00°
Element x y z (fractional)
Li (0.000, 0.000, 0.000)
Cd (0.529, 0.500, 0.500)
Cd (0.532, 0.500, 0.000)
Cd (0.996, 0.000, 0.500)
Ag (0.032, 0.500, 0.761)
Ag (0.492, 0.000, 0.239)
Au (0.031, 0.500, 0.239)
Au (0.494, 0.000, 0.761)

***

Entry 18:
Computed, not measured: a relaxed structure of Li4Cd2AgAu at the GGA-PBE level of DFT.

Calculated total energy (eV/atom): -2.263
SG: No. 115
V (Å³/cell): 134

Cell: 4.565 4.565 6.451 Å, 90.00 90.00 90.00°
Element x y z (fractional)
Li (0.000, 0.000, 0.000)
Li (0.000, 0.500, 0.249)
Li (0.500, 0.000, 0.751)
Li (0.500, 0.500, 0.500)
Cd (0.000, 0.500, 0.749)
Cd (0.500, 0.000, 0.251)
Ag (0.000, 0.000, 0.500)
Au (0.500, 0.500, 0.000)

***

Entry 19:
Computed, not measured: a relaxed structure of LuCdAgAu at the GGA-PBE level of DFT.

ΔH_f (0 K) (eV per atom): -0.488
SG: No. 216
V (Å³/cell): 82
Spin magnetization (Bohr magnetons per cell): 0.00

Cell: 4.874 4.874 4.874 Å, 60.00 60.00 60.00°
Element x y z (fractional)
Lu (0.000, 0.000, 0.000)
Cd (0.500, 0.500, 0.500)
Ag (0.250, 0.250, 0.250)
Au (0.750, 0.750, 0.750)

***

Entry 20:
Computed, not measured: a relaxed structure of LuCdAgAu at the GGA-PBE level of DFT.

ΔH_f (0 K) (eV per atom): -0.396
SG: No. 216
V (Å³/cell): 82
Spin magnetization (Bohr magnetons per cell): 0.00

Cell: 4.875 4.875 4.875 Å, 60.00 60.00 60.00°
Element x y z (fractional)
Lu (0.000, 0.000, 0.000)
Cd (0.250, 0.250, 0.250)
Ag (0.500, 0.500, 0.500)
Au (0.750, 0.750, 0.750)

***

no.,ρ (g/cm3)
1,10.20
2,9.55
3,9.86
4,8.50
5,9.90
6,9.74
7,8.35
8,9.78
9,9.43
10,9.26
11,8.55
12,9.19
13,10.02
14,9.03
15,9.02
16,9.32
17,10.68
18,6.89
19,12.01
20,12.00